YTmN (GGA-PBE, relaxed); E_tot = -7.54 eV/atom; size of the total moment = 0.7 Bohr magnetons per cell; E_form (uncorrected) = -1.123 eV per atom; theoretical density = 7.42 g cm⁻³; polymorph energy (0 for the lowest one) = 0.000 eV per atom
1.0
3.4692 0.0000 0.0000
-1.7346 3.0044 0.0000
0.0000 0.0000 11.6769
Y Tm N
2 2 2
direct
0.0000 0.0000 0.0000 Y
0.3333 0.6667 0.5000 Y
0.6667 0.3333 0.2319 Tm
0.6667 0.3333 0.7681 Tm
0.3333 0.6667 0.1341 N
0.3333 0.6667 0.8659 N